(1)
First-principles (PBE) data for crystalline In3SbPb at its relaxed geometry, as listed in the Alexandria database.

Summary:
raw formation energy = 10.56 kcal/mol of atoms

Lattice parameters (Å, degrees): 5.685 5.685 5.685 90.00 90.00 90.00
Space group Pm-3m (No. 221)
Asymmetric unit:
In (0.000, 0.000, 0.500) (multiplicity 3)
Sb (0.000, 0.000, 0.000) (multiplicity 1)
Pb (0.500, 0.500, 0.500) (multiplicity 1)

***

(2)
First-principles (PBE) data for crystalline La6CdIr at its relaxed geometry, as listed in the Alexandria database.

Summary:
E_form = -134 meV/atom

Lattice parameters (Å, degrees): 7.096 7.112 8.006 63.79 63.84 60.09
Space group P-1 (No. 2)
Asymmetric unit:
La (0.038, 0.420, 0.249) (multiplicity 2)
La (0.208, 0.963, 0.751) (multiplicity 2)
La (0.420, 0.793, 0.249) (multiplicity 2)
Cd (0.500, 0.500, 0.000) (multiplicity 1)
Ir (0.000, 0.000, 0.500) (multiplicity 1)

***

(3)
First-principles (PBE) data for crystalline Hf2MnCu2 at its relaxed geometry, as listed in the Alexandria database.

Summary:
E_form = -5 meV/atom

Lattice parameters (Å, degrees): 6.969 6.969 3.450 90.00 90.00 90.00
Space group P4/mbm (No. 127)
Asymmetric unit:
Hf (0.176, 0.324, 0.000) (multiplicity 4)
Mn (0.000, 0.000, 0.500) (multiplicity 2)
Cu (0.125, 0.625, 0.500) (multiplicity 4)

***

(4)
First-principles (PBE) data for crystalline CaBeNi3 at its relaxed geometry, as listed in the Alexandria database.

Summary:
E_form = -33 meV/atom

Lattice parameters (Å, degrees): 4.092 4.092 4.092 90.00 90.00 90.00
Space group Pm-3m (No. 221)
Asymmetric unit:
Ca (0.000, 0.000, 0.000) (multiplicity 1)
Be (0.500, 0.500, 0.500) (multiplicity 1)
Ni (0.000, 0.500, 0.500) (multiplicity 3)

***

(5)
First-principles (PBE) data for crystalline Ca3TeO at its relaxed geometry, as listed in the Alexandria database.

Summary:
raw formation energy = -34.28 kcal/mol of atoms

Lattice parameters (Å, degrees): 4.870 4.870 4.870 90.00 90.00 90.00
Space group Pm-3m (No. 221)
Asymmetric unit:
Ca (0.000, 0.000, 0.500) (multiplicity 3)
Te (0.500, 0.500, 0.500) (multiplicity 1)
O (0.000, 0.000, 0.000) (multiplicity 1)

***

(6)
First-principles (PBE) data for crystalline Na2VCl4 at its relaxed geometry, as listed in the Alexandria database.

Summary:
raw formation energy = -35.10 kcal/mol of atoms

Lattice parameters (Å, degrees): 8.129 11.186 3.800 90.00 90.00 90.00
Space group Cmmm (No. 65)
Asymmetric unit:
Na (0.250, 0.250, 0.000) (multiplicity 4)
V (0.000, 0.000, 0.500) (multiplicity 2)
Cl (0.000, 0.224, 0.500) (multiplicity 4)
Cl (0.205, 0.000, 0.000) (multiplicity 4)

***

(7)
First-principles (PBE) data for crystalline YSi2Cl at its relaxed geometry, as listed in the Alexandria database.

Summary:
raw formation energy = 5.86 kcal/mol of atoms

Lattice parameters (Å, degrees): 3.3494 3.3494 25.7704 90.00 90.00 120.00
Space group R-3m (No. 166, hexagonal axes)
Asymmetric unit:
Y (0.0000, 0.0000, 0.0000) (multiplicity 3)
Si (0.0000, 0.0000, 0.2470) (multiplicity 6)
Cl (0.0000, 0.0000, 0.5000) (multiplicity 3)

***

(8)
First-principles (PBE) data for crystalline YFe2Co at its relaxed geometry, as listed in the Alexandria database.

Summary:
E_form = 237 meV/atom

Lattice parameters (Å, degrees): 3.230 4.420 8.597 90.00 90.00 90.00
Space group Imm2 (No. 44)
Asymmetric unit:
Y (0.000, 0.000, 0.000) (multiplicity 2)
Fe (0.000, 0.000, 0.492) (multiplicity 2)
Fe (0.000, 0.500, 0.225) (multiplicity 2)
Co (0.000, 0.500, 0.768) (multiplicity 2)